Below is crystalline VCu2F at its relaxed geometry, with properties calculated at the PBE+U level.

Structure (CIF):
```
data_VCu2F
_chemical_formula_sum 'V4 Cu8 F4'
_symmetry_space_group_name_H-M 'I -4 2 d'
_symmetry_Int_Tables_number 122
_symmetry_space_group_name_Hall 'I -4 2bw'
_cell_length_a 7.1953
_cell_length_b 7.1953
_cell_length_c 4.4044
_cell_angle_alpha 90.00
_cell_angle_beta 90.00
_cell_angle_gamma 90.00
loop_
_atom_site_label
_atom_site_fract_x
_atom_site_fract_y
_atom_site_fract_z
V1 0.0000 0.0000 0.0000
Cu1 0.1992 0.2500 0.6250
F1 0.0000 0.0000 0.5000
```

Properties
D(E_F) (states/eV/f.u.): 1.10
E above lowest polymorph (meV per atom): 0.0
V (Å³/f.u.): 57.0
Crystal system: tetragonal